1.
DFT (PBE-GGA) results for crystalline Th3TcPd at its relaxed geometry.

Summary:
The spin magnetization comes out at 0.00 μB per formula unit. For the excess energy over the best structure of this formula in the dataset, the calculation gives 0.10 eV per formula unit. The formation energy comes out at -348 meV per atom. The calculation puts the density of states at the Fermi level at 0.8975 states/eV/atom.

Cell lengths 20.1480, 3.9969, 6.5191 Å; angles 90.00, 99.04, 90.00 degrees
Closest atoms and distances in Å follow each position.
Space group C2/m (No. 12)
One atom of each set of equivalent atoms:
Th (0.0014, 0.0000, 0.2511)  4 Tc 2.98-3.05, 2 Th 3.25-3.27
Th (0.1282, 0.5000, 0.5734)  2 Pd 2.89
Th (0.1766, 0.0000, 0.0959)  2 Tc 2.80, 2 Pd 3.04
Tc (0.0783, 0.5000, 0.0249)  6 Th 2.80-3.05, 1 Tc 3.12
Pd (0.2325, 0.0000, 0.6447)  4 Th 2.89-3.04, 2 Pd 2.91

2.
DFT (PBE-GGA) results for crystalline ThTcPd at its relaxed geometry.

Summary:
The spin magnetization comes out at 0.00 μB per formula unit. The formation energy comes out at -346 meV per atom. The calculation puts the density of states at the Fermi level at 0.4891 states/eV/atom.

Cell lengths 4.1914, 4.1914, 8.8035 Å; angles 90.00, 90.00, 120.00 degrees
Closest atoms and distances in Å follow each position.
Space group P-3m1 (No. 164)
One atom of each set of equivalent atoms:
Th (0.0000, 0.0000, 0.2489)  3 Pd 2.93, 3 Tc 3.13
Tc (0.3333, 0.6667, 0.9767)  3 Tc 2.45
Pd (0.3333, 0.6667, 0.4364)  3 Pd 2.67, 3 Th 2.93

3.
DFT (PBE-GGA) results for crystalline Th7Tc2Pd2 at its relaxed geometry.

Summary:
The spin magnetization comes out at 0.00 μB per formula unit. The formation energy comes out at -324 meV per atom. The calculation puts the density of states at the Fermi level at 1.0792 states/eV/atom.

Cell lengths 3.9516, 15.4065, 9.6656 Å; angles 90.00, 90.00, 90.00 degrees
Closest atoms and distances in Å follow each position.
Space group Imm2 (No. 44)
One atom of each set of equivalent atoms:
Th (0.0000, 0.0000, 0.0000)  3 Pd 3.12-3.34
Th (0.0000, 0.1214, 0.3918)  2 Tc 2.91, 3 Pd 3.05-3.15
Th (0.0000, 0.3150, 0.6061)  2 Tc 2.83
Th (0.0000, 0.3647, 0.2436)  2 Pd 3.00, 2 Tc 3.05
Tc (0.0000, 0.2410, 0.9161)  6 Th 2.83-3.05
Pd (0.0000, 0.0000, 0.6545)  7 Th 3.00-3.34
Pd (0.0000, 0.5000, 0.7503)  8 Th 3.05-3.17

4.
DFT (PBE-GGA) results for crystalline Th8TcPd5 at its relaxed geometry.

Summary:
The spin magnetization comes out at 0.00 μB per formula unit. The formation energy comes out at -523 meV per atom. The calculation puts the density of states at the Fermi level at 1.1076 states/eV/atom.

Cell lengths 8.9315, 8.9315, 9.1682 Å; angles 90.00, 90.00, 90.00 degrees
Closest atoms and distances in Å follow each position.
Space group I-4 (No. 82)
One atom of each set of equivalent atoms:
Th (0.0482, 0.3118, 0.0607)  3 Pd 2.87-2.94
Th (0.0632, 0.2049, 0.6852)  1 Tc 2.76, 2 Pd 2.91-2.96
Tc (0.0000, 0.5000, 0.7500)  4 Th 2.76
Pd (0.0000, 0.0000, 0.0000)  4 Th 2.87
Pd (0.1112, 0.2434, 0.3684)  4 Th 2.88-2.96

5.
DFT (PBE-GGA) results for crystalline ThTiTcPd at its relaxed geometry.

Summary:
The spin magnetization comes out at 0.02 μB per formula unit. The formation energy comes out at -308 meV per atom. The calculation puts the density of states at the Fermi level at 0.6344 states/eV/atom.

Cell lengths 6.7582, 6.7582, 6.7582 Å; angles 90.00, 90.00, 90.00 degrees
Closest atoms and distances in Å follow each position.
Space group F-43m (No. 216)
One atom of each set of equivalent atoms:
Th (0.0000, 0.0000, 0.0000)  4 Pd 2.93, 4 Tc 2.93
Ti (0.0000, 0.0000, 0.5000)  4 Tc 2.93, 4 Pd 2.93
Tc (0.2500, 0.2500, 0.7500)  4 Th 2.93, 4 Ti 2.93
Pd (0.2500, 0.2500, 0.2500)  4 Th 2.93, 4 Ti 2.93

6.
DFT (PBE-GGA) results for crystalline TmThTcPd at its relaxed geometry.

Summary:
The spin magnetization comes out at 0.00 μB per formula unit. The formation energy comes out at -455 meV per atom. The calculation puts the density of states at the Fermi level at 0.7194 states/eV/atom.

Cell lengths 7.0210, 7.0210, 7.0210 Å; angles 90.00, 90.00, 90.00 degrees
Closest atoms and distances in Å follow each position.
Space group F-43m (No. 216)
One atom of each set of equivalent atoms:
Tm (0.0000, 0.0000, 0.0000)  4 Tc 3.04, 4 Pd 3.04
Th (0.0000, 0.0000, 0.5000)  4 Pd 3.04, 4 Tc 3.04
Tc (0.2500, 0.2500, 0.7500)  4 Th 3.04, 4 Tm 3.04
Pd (0.2500, 0.2500, 0.2500)  4 Tm 3.04, 4 Th 3.04

7.
DFT (PBE-GGA) results for crystalline ThZrTcPd at its relaxed geometry.

Summary:
The spin magnetization comes out at 0.00 μB per formula unit. The formation energy comes out at -392 meV per atom. The calculation puts the density of states at the Fermi level at 0.5669 states/eV/atom.

Cell lengths 6.9184, 6.9184, 6.9184 Å; angles 90.00, 90.00, 90.00 degrees
Closest atoms and distances in Å follow each position.
Space group F-43m (No. 216)
One atom of each set of equivalent atoms:
Th (0.0000, 0.0000, 0.0000)  4 Tc 3.00, 4 Pd 3.00
Zr (0.0000, 0.0000, 0.5000)  4 Pd 3.00, 4 Tc 3.00
Tc (0.2500, 0.2500, 0.2500)  4 Zr 3.00, 4 Th 3.00
Pd (0.2500, 0.2500, 0.7500)  4 Zr 3.00, 4 Th 3.00

8.
DFT (PBE-GGA) results for crystalline TiTcPd2 at its relaxed geometry.

Summary:
The spin magnetization comes out at 1.46 μB per formula unit. For the excess energy over the best structure of this formula in the dataset, the calculation gives 0.00 eV per formula unit. The formation energy comes out at 6 meV per atom. The calculation puts the density of states at the Fermi level at 1.3115 states/eV/atom.

Cell lengths 6.3021, 6.3021, 6.3021 Å; angles 90.00, 90.00, 90.00 degrees
Closest atoms and distances in Å follow each position.
Space group Fm-3m (No. 225)
One atom of each set of equivalent atoms:
Ti (0.0000, 0.0000, 0.0000)  8 Pd 2.73
Tc (0.0000, 0.0000, 0.5000)  8 Pd 2.73
Pd (0.2500, 0.2500, 0.2500)  4 Tc 2.73, 4 Ti 2.73

9.
DFT (PBE-GGA) results for crystalline TiTcPd2 at its relaxed geometry.

Summary:
The spin magnetization comes out at 0.00 μB per formula unit. For the excess energy over the best structure of this formula in the dataset, the calculation gives 0.37 eV per formula unit. The formation energy comes out at 98 meV per atom. The calculation puts the density of states at the Fermi level at 1.0303 states/eV/atom.

Cell lengths 3.7537, 3.7537, 18.4633 Å; angles 90.00, 90.00, 90.00 degrees
Closest atoms and distances in Å follow each position.
Space group I-42d (No. 122)
One atom of each set of equivalent atoms:
Ti (0.0000, 0.0000, 0.0000)  4 Tc 2.65, 4 Pd 2.66
Tc (0.0000, 0.0000, 0.5000)  4 Ti 2.65, 4 Pd 2.66
Pd (0.2501, 0.2500, 0.1250)  4 Pd 2.65, 2 Tc 2.66, 2 Ti 2.66

10.
DFT (PBE-GGA) results for crystalline Ti6TcPd2 at its relaxed geometry.

Summary:
The spin magnetization comes out at 0.00 μB per formula unit. The formation energy comes out at 7 meV per atom. The calculation puts the density of states at the Fermi level at 1.4801 states/eV/atom.

Cell lengths 4.3484, 6.0970, 12.7674 Å; angles 90.00, 90.00, 90.00 degrees
Closest atoms and distances in Å follow each position.
Space group Immm (No. 71)
One atom of each set of equivalent atoms:
Ti (0.0000, 0.2420, 0.0000)  2 Tc 2.63, 2 Pd 2.66
Ti (0.0000, 0.2538, 0.3378)  1 Tc 2.56, 3 Pd 2.64-2.67
Tc (0.0000, 0.5000, 0.5000)  8 Ti 2.56-2.63
Pd (0.0000, 0.5000, 0.1680)  8 Ti 2.64-2.67

11.
DFT (PBE-GGA) results for crystalline Ti3TcPd at its relaxed geometry.

Summary:
The spin magnetization comes out at 0.78 μB per formula unit. For the excess energy over the best structure of this formula in the dataset, the calculation gives 0.00 eV per formula unit. The formation energy comes out at 501 meV per atom. The calculation puts the density of states at the Fermi level at 1.8154 states/eV/atom.

Cell lengths 4.6585, 4.6585, 4.6585 Å; angles 90.00, 90.00, 90.00 degrees
Closest atoms and distances in Å follow each position.
Space group Pm-3m (No. 221)
One atom of each set of equivalent atoms:
Ti (0.0000, 0.0000, 0.5000)  2 Tc 2.33
Tc (0.0000, 0.0000, 0.0000)  6 Ti 2.33
Pd (0.5000, 0.5000, 0.5000)  12 Ti 3.29

12.
DFT (PBE-GGA) results for crystalline Ti3Tc2Pd at its relaxed geometry.

Summary:
The spin magnetization comes out at 0.00 μB per formula unit. The formation energy comes out at -603 meV per atom. The calculation puts the density of states at the Fermi level at 0.3063 states/eV/atom.

Cell lengths 3.1342, 3.1342, 9.3264 Å; angles 90.00, 90.00, 90.00 degrees
Closest atoms and distances in Å follow each position.
Space group P4/mmm (No. 123)
One atom of each set of equivalent atoms:
Ti (0.0000, 0.0000, 0.0000)  8 Tc 2.72, 2 Ti 2.99
Ti (0.0000, 0.0000, 0.3207)  4 Tc 2.63, 4 Pd 2.78
Tc (0.5000, 0.5000, 0.1692)  8 Ti 2.63-2.72
Pd (0.5000, 0.5000, 0.5000)  8 Ti 2.78, 2 Tc 3.09

13.
DFT (PBE-GGA) results for crystalline TiTc3Pd at its relaxed geometry.

Summary:
The spin magnetization comes out at 0.00 μB per formula unit. For the excess energy over the best structure of this formula in the dataset, the calculation gives 0.00 eV per formula unit. The formation energy comes out at 1318 meV per atom. The calculation puts the density of states at the Fermi level at 1.0573 states/eV/atom.

Cell lengths 4.4664, 4.4664, 4.4664 Å; angles 90.00, 90.00, 90.00 degrees
Closest atoms and distances in Å follow each position.
Space group Pm-3m (No. 221)
One atom of each set of equivalent atoms:
Ti (0.0000, 0.0000, 0.0000)  6 Tc 2.23
Tc (0.0000, 0.0000, 0.5000)  2 Ti 2.23
Pd (0.5000, 0.5000, 0.5000)  12 Tc 3.16

14.
DFT (PBE-GGA) results for crystalline Ti2TcPd at its relaxed geometry.

Summary:
The spin magnetization comes out at 0.70 μB per formula unit. For the excess energy over the best structure of this formula in the dataset, the calculation gives 3.50 eV per formula unit. The formation energy comes out at 269 meV per atom. The calculation puts the density of states at the Fermi level at 1.3108 states/eV/atom.

Cell lengths 4.0085, 4.0085, 17.0669 Å; angles 90.00, 90.00, 90.00 degrees
Closest atoms and distances in Å follow each position.
Space group I-42d (No. 122)
One atom of each set of equivalent atoms:
Ti (0.2406, 0.2500, 0.1250)  2 Tc 2.55, 2 Pd 2.58, 2 Ti 2.78
Tc (0.0000, 0.0000, 0.0000)  4 Ti 2.55, 4 Pd 2.83
Pd (0.0000, 0.0000, 0.5000)  4 Ti 2.58, 4 Tc 2.83

15.
DFT (PBE-GGA) results for crystalline TiTc3Pd at its relaxed geometry.

Summary:
The spin magnetization comes out at 1.43 μB per formula unit. For the excess energy over the best structure of this formula in the dataset, the calculation gives 3.07 eV per formula unit. The formation energy comes out at 1931 meV per atom. The calculation puts the density of states at the Fermi level at 2.1620 states/eV/atom.

Cell lengths 4.6535, 4.6535, 4.6535 Å; angles 90.00, 90.00, 90.00 degrees
Closest atoms and distances in Å follow each position.
Space group Pm-3m (No. 221)
One atom of each set of equivalent atoms:
Ti (0.0000, 0.0000, 0.0000)  12 Tc 3.29
Tc (0.0000, 0.5000, 0.5000)  2 Pd 2.33
Pd (0.5000, 0.5000, 0.5000)  6 Tc 2.33

16.
DFT (PBE-GGA) results for crystalline Ti2TcPd at its relaxed geometry.

Summary:
The spin magnetization comes out at 0.00 μB per formula unit. For the excess energy over the best structure of this formula in the dataset, the calculation gives 0.26 eV per formula unit. The formation energy comes out at -540 meV per atom. The calculation puts the density of states at the Fermi level at 1.0121 states/eV/atom.

Cell lengths 6.2557, 6.2557, 6.2557 Å; angles 90.00, 90.00, 90.00 degrees
Closest atoms and distances in Å follow each position.
Space group Fm-3m (No. 225)
One atom of each set of equivalent atoms:
Ti (0.2500, 0.2500, 0.2500)  4 Pd 2.71, 4 Tc 2.71
Tc (0.0000, 0.0000, 0.0000)  8 Ti 2.71
Pd (0.0000, 0.0000, 0.5000)  8 Ti 2.71

17.
DFT (PBE-GGA) results for crystalline Ti4TcPd3 at its relaxed geometry.

Summary:
The spin magnetization comes out at 1.21 μB per formula unit. The formation energy comes out at -537 meV per atom. The calculation puts the density of states at the Fermi level at 1.0250 states/eV/atom.

Cell lengths 3.0764, 3.0764, 13.2970 Å; angles 90.00, 90.00, 90.00 degrees
Closest atoms and distances in Å follow each position.
Space group P4/mmm (No. 123)
One atom of each set of equivalent atoms:
Ti (0.0000, 0.0000, 0.1125)  4 Tc 2.64, 4 Pd 2.75
Ti (0.0000, 0.0000, 0.3702)  8 Pd 2.78, 4 Ti 3.08
Tc (0.5000, 0.5000, 0.0000)  8 Ti 2.64
Pd (0.5000, 0.5000, 0.2396)  8 Ti 2.75-2.78, 4 Pd 3.08
Pd (0.5000, 0.5000, 0.5000)  8 Ti 2.78, 4 Pd 3.08

18.
DFT (PBE-GGA) results for crystalline Ti2TcPd at its relaxed geometry.

Summary:
The spin magnetization comes out at 0.00 μB per formula unit. For the excess energy over the best structure of this formula in the dataset, the calculation gives 0.00 eV per formula unit. The formation energy comes out at -605 meV per atom. The calculation puts the density of states at the Fermi level at 0.8343 states/eV/atom.

Cell lengths 3.1433, 3.1433, 6.2337 Å; angles 90.00, 90.00, 90.00 degrees
Closest atoms and distances in Å follow each position.
Space group P4/mmm (No. 123)
One atom of each set of equivalent atoms:
Ti (0.0000, 0.0000, 0.2347)  4 Tc 2.66, 4 Pd 2.77, 1 Ti 2.93
Tc (0.5000, 0.5000, 0.0000)  8 Ti 2.66
Pd (0.5000, 0.5000, 0.5000)  8 Ti 2.77

19.
DFT (PBE-GGA) results for crystalline Ti5Tc4Pd at its relaxed geometry.

Summary:
The spin magnetization comes out at 0.00 μB per formula unit. The formation energy comes out at -553 meV per atom. The calculation puts the density of states at the Fermi level at 0.7872 states/eV/atom.

Cell lengths 3.1231, 3.1231, 15.5401 Å; angles 90.00, 90.00, 90.00 degrees
Closest atoms and distances in Å follow each position.
Space group P4/mmm (No. 123)
One atom of each set of equivalent atoms:
Ti (0.0000, 0.0000, 0.0000)  8 Tc 2.70
Ti (0.0000, 0.0000, 0.1983)  8 Tc 2.69-2.73
Ti (0.0000, 0.0000, 0.3918)  4 Tc 2.62, 4 Pd 2.78
Tc (0.5000, 0.5000, 0.0999)  8 Ti 2.69-2.70
Tc (0.5000, 0.5000, 0.3013)  8 Ti 2.62-2.73
Pd (0.5000, 0.5000, 0.5000)  8 Ti 2.78, 2 Tc 3.09

20.
DFT (PBE-GGA) results for crystalline TiTcPd3 at its relaxed geometry.

Summary:
The spin magnetization comes out at 0.00 μB per formula unit. For the excess energy over the best structure of this formula in the dataset, the calculation gives 0.00 eV per formula unit. The formation energy comes out at 1019 meV per atom. The calculation puts the density of states at the Fermi level at 0.7072 states/eV/atom.

Cell lengths 4.5360, 4.5360, 4.5360 Å; angles 90.00, 90.00, 90.00 degrees
Closest atoms and distances in Å follow each position.
Space group Pm-3m (No. 221)
One atom of each set of equivalent atoms:
Ti (0.0000, 0.0000, 0.0000)  6 Pd 2.27
Tc (0.5000, 0.5000, 0.5000)  12 Pd 3.21
Pd (0.0000, 0.0000, 0.5000)  2 Ti 2.27